VASP calculation (PBE-GGA) on a relaxed LiAg2Pb2 crystal.

extended XYZ file:
```
10
Lattice="4.9673 -2.8921 0.0000 4.9673 2.8921 0.0000 -2.0699 0.0000 7.8865" Properties=species:S:1:pos:R:3 pbc="T T T"
Li 3.4149 1.7303 5.9149
Li 4.4498 -1.7303 1.9716
Ag 3.7121 2.1600 0.0464
Ag 5.1875 2.1600 3.8968
Ag 2.6772 -2.1600 3.9897
Ag 4.1526 -2.1600 7.8400
Pb 2.7188 0.7966 2.7838
Pb 1.6839 -0.7966 6.7270
Pb 6.1808 0.7966 1.1594
Pb 5.1458 -0.7966 5.1027
```

SG: No. 15
Size of the total moment, μB/f.u.: 0.00
DFT formation energy, eV/f.u.: -0.35